The following is a PBE-GGA calculation of crystalline EuThSe2 at its relaxed geometry, from the Alexandria database.

Values from the calculation:
Crystal system: trigonal
D(E_F), states/eV per cell: 2.6
Uncorrected formation energy, eV per atom: -1.74
Space-group type: No. 166

Unit cell a=4.1847 b=4.1847 c=7.5223 alpha=73.85 beta=73.85 gamma=60.00
Last column: nearest neighbours and their distance in Å.
Element x y z (fractional)
Th 0.0000 0.0000 0.0000  6 Se 3.00
Se 0.2500 0.2500 0.2500  3 Eu 3.00, 3 Th 3.00
Se 0.7500 0.7500 0.7500  3 Eu 3.00, 3 Th 3.00
Eu 0.5000 0.5000 0.5000  6 Se 3.00